# GGA+U CeCo3B4O12, optimized geometry
data_CeCo3B4O12
_space_group_name_H-M_alt 'R 3 2'
_space_group_IT_number 155
_space_group_name_Hall 'R 3 2"'
_cell_length_a 9.6094
_cell_length_b 9.6094
_cell_length_c 7.7034
_cell_angle_alpha 90.00
_cell_angle_beta 90.00
_cell_angle_gamma 120.00
loop_
_atom_site_label
_atom_site_fract_x
_atom_site_fract_y
_atom_site_fract_z
_atom_site_occupancy
Ce1 0.0000 0.0000 0.0000 1
Co1 0.0000 0.5554 0.0000 1
B1 0.0000 0.0000 0.5000 1
B2 0.0000 0.4470 0.5000 1
O1 0.0000 0.5907 0.5000 1
O2 0.0000 0.8563 0.5000 1
O3 0.0256 0.2112 0.1775 1
# * total energy: -0.5403 Ry per atom